# 1
Material: SmTm2Tl2Cd2
Method: DFT, PBE
State: optimized geometry

Lattice parameters (Å, degrees): 5.0228 5.0228 25.9097 90.00 90.00 120.00
Space group R-3m (No. 166, hexagonal axes)
One atom of each set of equivalent atoms:
Sm1 0.0000 0.0000 0.0000
Tm1 0.0000 0.0000 0.1346
Tl1 0.0000 0.0000 0.2681
Cd1 0.0000 0.0000 0.4340

## Properties
Final energy   -3.035 eV per atom
Calculated formation energy   -0.15 eV per atom
Total magnetic moment   0.001 μB/atom
Fermi-level density of states   0.69 states/eV per atom

---

# 2
Material: KSnCl2
Method: DFT, PBE
State: optimized geometry

Lattice parameters (Å, degrees): 6.071 6.071 16.888 90.00 90.00 90.00
Space group I-42d (No. 122)
One atom of each set of equivalent atoms:
K1 0.000 0.000 0.000
Sn1 0.000 0.000 0.500
Cl1 0.216 0.250 0.625

## Properties
Final energy   -3.124 eV per atom
Total magnetic moment   0.000 μB/atom
Fermi-level density of states   0.51 states/eV per atom

---

# 3
Material: Pu3Cu5Cl12
Method: DFT, PBE
State: optimized geometry

Lattice parameters (Å, degrees): 15.375 15.375 15.375 90.00 90.00 90.00
Space group Ia-3d (No. 230)
One atom of each set of equivalent atoms:
Pu1 0.000 0.250 0.125
Cu1 0.000 0.000 0.000
Cu2 0.000 0.250 0.375
Cl1 0.029 0.061 0.651

## Properties
Final energy   -5.377 eV per atom
Total magnetic moment   0.850 μB/atom
Fermi-level density of states   1.69 states/eV per atom

---

# 4
Material: PmNpB
Method: DFT, PBE
State: optimized geometry

Lattice parameters (Å, degrees): 5.898 4.338 9.992 90.00 99.67 90.00
Space group C2/m (No. 12)
One atom of each set of equivalent atoms:
Pm1 0.158 0.000 0.324
Np1 0.180 0.000 0.947
B1 0.044 0.500 0.834

## Properties
Final energy   -8.087 eV per atom
Calculated formation energy   0.04 eV per atom
Total magnetic moment   0.000 μB/atom
Fermi-level density of states   1.44 states/eV per atom

---

# 5
Material: AcCdGeBr
Method: DFT, PBE
State: optimized geometry

Lattice parameters (Å, degrees): 4.6078 4.6078 42.0914 90.00 90.00 120.00
Space group R-3m (No. 166, hexagonal axes)
One atom of each set of equivalent atoms:
Ac1 0.0000 0.0000 0.0838
Cd1 0.0000 0.0000 0.3097
Ge1 0.0000 0.0000 0.3779
Br1 0.0000 0.0000 0.2060

## Properties
Final energy   -3.800 eV per atom
Total magnetic moment   0.000 μB/atom

---

# 6
Material: PuThPtAu
Method: DFT, PBE
State: optimized geometry

Lattice parameters (Å, degrees): 4.454 3.947 11.333 90.00 90.00 90.00
Space group Amm2 (No. 38)
One atom of each set of equivalent atoms:
Pu1 0.000 0.000 0.000
Th1 0.500 0.000 0.719
Pt1 0.000 0.000 0.259
Au1 0.500 0.000 0.441

## Properties
Final energy   -8.528 eV per atom
Calculated formation energy   -0.76 eV per atom
Total magnetic moment   1.460 μB/atom
Fermi-level density of states   3.55 states/eV per atom

---

# 7
Material: SmHo6Tl6
Method: DFT, PBE
State: optimized geometry

Lattice parameters (Å, degrees): 6.4176 6.4176 10.5218 90.00 90.00 120.00
Space group P6/mmm (No. 191)
One atom of each set of equivalent atoms:
Sm1 0.0000 0.0000 0.0000
Ho1 0.0000 0.0000 0.3373
Ho2 0.3333 0.6667 0.0000
Ho3 0.3333 0.6667 0.5000
Tl1 0.0000 0.5000 0.2460

## Properties
Final energy   -3.748 eV per atom
Calculated formation energy   -0.18 eV per atom
Total magnetic moment   0.085 μB/atom
Fermi-level density of states   0.90 states/eV per atom

---

# 8
Material: SrCa12Ac7
Method: DFT, PBE
State: optimized geometry

Lattice parameters (Å, degrees): 13.160 13.160 13.160 90.00 90.00 90.00
Space group Im-3 (No. 204)
One atom of each set of equivalent atoms:
Sr1 0.000 0.000 0.000
Ca1 0.000 0.355 0.253
Ac1 0.000 0.000 0.500
Ac2 0.250 0.250 0.250

## Properties
Final energy   -2.036 eV per atom
Calculated formation energy   0.69 eV per atom
Total magnetic moment   0.000 μB/atom
Fermi-level density of states   1.46 states/eV per atom

---

# 9
Material: Er3GePt12
Method: DFT, PBE
State: optimized geometry

Lattice parameters (Å, degrees): 4.083 4.083 16.169 90.00 90.00 90.00
Space group P4/mmm (No. 123)
One atom of each set of equivalent atoms:
Er1 0.000 0.000 0.000
Er2 0.000 0.000 0.253
Ge1 0.000 0.000 0.500
Pt1 0.000 0.500 0.127
Pt2 0.000 0.500 0.383
Pt3 0.500 0.500 0.000
Pt4 0.500 0.500 0.256
Pt5 0.500 0.500 0.500

## Properties
Final energy   -6.539 eV per atom
Calculated formation energy   -0.86 eV per atom
Total magnetic moment   0.000 μB/atom
Fermi-level density of states   0.90 states/eV per atom

---

# 10
Material: ScCoSbI2
Method: DFT, PBE
State: optimized geometry

Lattice parameters (Å, degrees): 5.567 5.567 5.869 90.00 90.00 90.00
Space group P4/mmm (No. 123)
One atom of each set of equivalent atoms:
Sc1 0.000 0.000 0.000
Co1 0.500 0.500 0.500
Sb1 0.000 0.000 0.500
I1 0.000 0.500 0.000

## Properties
Final energy   -3.687 eV per atom
Total magnetic moment   0.409 μB/atom
Fermi-level density of states   2.48 states/eV per atom

---

# 11
Material: Zr2VZn
Method: DFT, PBE
State: optimized geometry

Lattice parameters (Å, degrees): 4.020 4.020 19.566 90.00 90.00 90.00
Space group I-42d (No. 122)
One atom of each set of equivalent atoms:
Zr1 0.244 0.250 0.125
V1 0.000 0.000 0.000
Zn1 0.000 0.000 0.500

## Properties
Final energy   -6.312 eV per atom
Calculated formation energy   0.56 eV per atom
Total magnetic moment   0.048 μB/atom
Fermi-level density of states   1.16 states/eV per atom

---

# 12
Material: CsK14Ca
Method: DFT, PBE
State: optimized geometry

Lattice parameters (Å, degrees): 15.189 9.482 15.931 90.00 90.00 90.00
Space group Amm2 (No. 38)
One atom of each set of equivalent atoms:
Cs1 0.000 0.000 0.000
K1 0.000 0.246 0.750
K2 0.240 0.000 0.328
K3 0.248 0.241 0.575
K4 0.256 0.000 0.823
K5 0.500 0.000 0.150
K6 0.500 0.000 0.651
K7 0.500 0.246 0.401
Ca1 0.000 0.000 0.502

## Properties
Final energy   -1.096 eV per atom
Calculated formation energy   0.04 eV per atom
Total magnetic moment   0.000 μB/atom
Fermi-level density of states   0.76 states/eV per atom

---

# 13
Material: Sm4PuP5
Method: DFT, PBE
State: optimized geometry

Lattice parameters (Å, degrees): 9.131 9.131 5.772 90.00 90.00 90.00
Space group I4/m (No. 87)
One atom of each set of equivalent atoms:
Sm1 0.099 0.301 0.000
Pu1 0.000 0.000 0.500
P1 0.000 0.000 0.000
P2 0.097 0.294 0.500

## Properties
Final energy   -7.503 eV per atom
Calculated formation energy   -1.48 eV per atom
Total magnetic moment   0.485 μB/atom
Fermi-level density of states   1.37 states/eV per atom

---

# 14
Material: Li2TbMoN4
Method: DFT, PBE
State: optimized geometry

Lattice parameters (Å, degrees): 7.445 6.079 4.740 90.00 90.00 90.00
Space group Pmn2_1 (No. 31)
One atom of each set of equivalent atoms:
Li1 0.247 0.168 0.000
Tb1 0.000 0.688 0.992
Mo1 0.000 0.312 0.543
N1 0.000 0.314 0.932
N2 0.000 0.622 0.483
N3 0.217 0.166 0.453

## Properties
Final energy   -7.238 eV per atom
Total magnetic moment   0.127 μB/atom
Fermi-level density of states   0.40 states/eV per atom

---

# 15
Material: MgPaTcNi
Method: DFT, PBE
State: optimized geometry

Lattice parameters (Å, degrees): 6.541 6.541 6.541 90.00 90.00 90.00
Space group F-43m (No. 216)
One atom of each set of equivalent atoms:
Mg1 0.000 0.000 0.000
Pa1 0.000 0.000 0.500
Tc1 0.250 0.250 0.750
Ni1 0.250 0.250 0.250

## Properties
Final energy   -6.936 eV per atom
Calculated formation energy   -0.13 eV per atom
Total magnetic moment   0.000 μB/atom
Fermi-level density of states   0.77 states/eV per atom

---

# 16
Material: FeAsIr
Method: DFT, PBE
State: optimized geometry

Lattice parameters (Å, degrees): 2.911 3.885 7.616 90.00 90.00 90.00
Space group Imm2 (No. 44)
One atom of each set of equivalent atoms:
Fe1 0.000 0.000 0.000
As1 0.000 0.000 0.680
Ir1 0.000 0.000 0.346

## Properties
Final energy   -7.208 eV per atom
Calculated formation energy   0.12 eV per atom
Total magnetic moment   1.004 μB/atom
Fermi-level density of states   0.75 states/eV per atom

---

# 17
Material: La7HoEr3
Method: DFT, PBE
State: optimized geometry

Lattice parameters (Å, degrees): 6.000 11.353 11.624 90.00 90.00 90.00
Space group Immm (No. 71)
One atom of each set of equivalent atoms:
La1 0.000 0.000 0.000
La2 0.000 0.209 0.500
La3 0.000 0.308 0.213
Ho1 0.000 0.500 0.500
Er1 0.000 0.000 0.294
Er2 0.000 0.500 0.000

## Properties
Final energy   -4.580 eV per atom
Calculated formation energy   0.22 eV per atom
Total magnetic moment   0.000 μB/atom
Fermi-level density of states   1.39 states/eV per atom

---

# 18
Material: Na2TaTlHg
Method: DFT, PBE
State: optimized geometry

Lattice parameters (Å, degrees): 5.969 5.969 5.350 90.00 90.00 90.00
Space group P4/mmm (No. 123)
One atom of each set of equivalent atoms:
Na1 0.000 0.500 0.000
Ta1 0.000 0.000 0.000
Tl1 0.500 0.500 0.500
Hg1 0.000 0.000 0.500

## Properties
Final energy   -2.307 eV per atom
Calculated formation energy   1.13 eV per atom
Total magnetic moment   0.597 μB/atom
Fermi-level density of states   0.82 states/eV per atom

---

# 19
Material: La2Ga4Ni3Au
Method: DFT, PBE
State: optimized geometry

Lattice parameters (Å, degrees): 4.225 4.225 10.398 90.00 90.00 90.00
Space group P-4m2 (No. 115)
One atom of each set of equivalent atoms:
La1 0.000 0.500 0.238
Ga1 0.000 0.000 0.000
Ga2 0.000 0.500 0.641
Ga3 0.500 0.500 0.000
Ni1 0.000 0.500 0.874
Ni2 0.500 0.500 0.500
Au1 0.000 0.000 0.500

## Properties
Final energy   -4.839 eV per atom
Calculated formation energy   -0.58 eV per atom
Total magnetic moment   0.000 μB/atom
Fermi-level density of states   0.82 states/eV per atom

---

# 20
Material: KTe2Pb
Method: DFT, PBE
State: optimized geometry

Lattice parameters (Å, degrees): 13.225 3.618 6.235 90.00 92.11 90.00
Space group Cm (No. 8)
One atom of each set of equivalent atoms:
K1 0.000 0.000 0.000
Te1 0.237 0.500 0.042
Te2 0.479 0.000 0.501
Pb1 0.246 0.000 0.435

## Properties
Final energy   -3.259 eV per atom
Total magnetic moment   0.000 μB/atom
Fermi-level density of states   0.24 states/eV per atom